No. 1
DFT (PBE) results for a relaxed PaB2H8 crystal.

Results
N(E_F) = 7.67 states/eV/cell
total DFT energy (no corrections) = -4.607 eV/atom

abc: 7.043 4.071 6.106
angles: 90.00 112.52 90.00
Space group C2/m (No. 12)
Symmetry-distinct sites (fractional):
Pa1 0.000 0.000 0.000
B1 0.236 0.000 0.708
H1 0.072 0.500 0.224
H2 0.163 0.000 0.490
H3 0.175 0.254 0.777


No. 2
DFT (PBE) results for a relaxed ThNi2H6 crystal.

Results
N(E_F) = 7.40 states/eV/cell
total DFT energy (no corrections) = -4.555 eV/atom

abc: 8.009 3.642 6.096
angles: 90.00 115.93 90.00
Space group C2/m (No. 12)
Symmetry-distinct sites (fractional):
Th1 0.000 0.000 0.000
Ni1 0.189 0.000 0.600
H1 0.006 0.000 0.640
H2 0.211 0.500 0.102
H3 0.211 0.500 0.592


No. 3
DFT (PBE) results for a relaxed MgScAl2 crystal.

Results
N(E_F) = 5.20 states/eV/cell
E_form = -0.230 eV per atom

abc: 4.232 4.232 8.581
angles: 90.00 90.00 90.00
Space group I4/mmm (No. 139)
Symmetry-distinct sites (fractional):
Mg1 0.000 0.000 0.000
Sc1 0.000 0.000 0.500
Al1 0.000 0.500 0.250


No. 4
DFT (PBE) results for a relaxed CaZnIn3 crystal.

Results
N(E_F) = 5.79 states/eV/cell
E_form = 0.693 eV per atom

abc: 6.022 6.022 6.022
angles: 90.00 90.00 90.00
Space group Pm-3m (No. 221)
Symmetry-distinct sites (fractional):
Ca1 0.000 0.000 0.000
Zn1 0.500 0.500 0.500
In1 0.000 0.000 0.500


Q: The highest N(E_F) belongs to which entry?
A: PaB2H8